Entry 1:
Material: Nd12In3N5
Method: DFT, PBE
State: relaxed Values from VASP.

Summary:
As for the crystal system: cubic. Its density is 6.616 g cm⁻³. Its space group is Ia-3d. The formation energy from raw total energies comes out at -0.7202 eV/atom. Its size of the total moment is 0.0 μB per formula unit. The calculation puts the electronic total energy at -6.07 eV/atom.

Structure (Quantum ESPRESSO input):
```
&SYSTEM
  ibrav = 0, nat = 80, ntyp = 3
/
ATOMIC_SPECIES
Nd 144.24 Nd.upf
N 14.01 N.upf
In 114.82 In.upf
ATOMIC_POSITIONS angstrom
Nd -3.9660 -3.2351 -6.1694
Nd 2.3907 -10.1264 -1.9149
Nd -5.1082 1.1807 -3.3366
Nd -1.8145 -4.1448 -9.4698
Nd 5.0915 -3.7978 -10.1362
Nd -3.9440 -6.7660 -5.1193
Nd -8.4630 -3.3402 -0.3814
Nd -10.0047 1.1728 -5.8578
Nd -5.7995 -4.8088 1.6970
Nd -8.2104 1.8392 -9.1382
Nd -2.8664 -9.0536 0.2110
Nd -4.1540 -10.7004 5.5904
Nd -1.2611 -0.4898 -9.0052
Nd -12.0095 -1.8604 0.1263
Nd -4.1597 -1.6584 -11.2984
Nd 0.8490 -5.6134 -7.3913
Nd -3.6699 -2.1876 -2.6535
Nd -6.3529 -8.4638 1.2324
Nd -3.4600 1.7468 -13.3632
Nd -2.0844 -0.0164 -5.4459
Nd -9.9030 -6.7977 0.2477
Nd -7.2912 -1.3104 -5.6554
Nd -7.8473 1.3784 -0.8812
Nd -3.6480 -5.7185 -1.6033
Nd -1.2115 -4.5208 -4.0884
Nd 2.3316 -7.6832 -4.6714
Nd -1.1336 -5.7146 1.1459
Nd -7.3520 -6.5597 -6.7828
Nd -7.7344 3.7371 -3.7087
Nd -5.6457 -1.2526 0.7481
Nd -2.5058 -10.1343 -4.4362
Nd -0.2620 -2.3939 -0.9900
Nd 0.5964 -10.7928 1.3654
Nd -6.4025 -4.4328 -3.6844
Nd -1.9683 -7.7010 -8.5209
Nd -3.4543 -7.2952 3.5256
Nd 0.1205 -12.6907 -4.0641
Nd 0.2333 -10.3320 -6.8916
Nd -9.9456 -1.2704 -3.1014
Nd -12.7055 -5.1558 2.3634
Nd 1.3747 -1.8654 -4.4638
Nd -4.7476 0.1000 -7.9838
Nd -5.5296 -8.9372 -2.3269
Nd 4.3955 -7.0932 -7.8991
Nd -8.9887 -7.0882 -3.3090
Nd 2.2890 -2.1559 -8.0205
Nd -6.4803 -3.2390 -8.9187
Nd -0.3228 -7.6431 -2.1173
N -1.3175 -5.8232 3.7409
N -5.6411 -6.8716 2.7976
N -1.9728 -2.0820 -10.5704
N -7.4026 -2.7701 1.9272
N -1.9927 -7.0324 -0.5909
N -2.4895 1.3464 -7.6272
N -4.5186 -8.9343 -4.4410
N -3.8070 -4.4768 -3.8864
N 2.9203 -2.9160 -10.1454
N -5.6213 -1.9211 -7.1818
N 2.2781 -7.5299 -2.0727
N 0.5167 -3.4284 -2.9432
N -6.0851 3.0531 -1.8137
N 2.8840 -6.1642 -6.3682
N -10.4980 -2.7894 -1.4046
N -8.1306 -5.5252 -4.8296
N -10.5343 -6.0376 2.3726
N 0.0000 0.0000 0.0000
N 3.5956 -1.7067 -5.8136
N -3.0954 -0.0193 -3.3318
In -6.8859 -6.1984 -1.0160
In -6.7603 1.8438 -6.1455
In -4.4822 -5.6861 -8.2182
In -2.0291 -10.2806 3.1863
In -0.8173 -7.5492 -5.4046
In -3.1318 -3.2675 0.4454
In -6.7967 -1.4044 -2.3682
In 2.7947 -10.9583 -5.0159
In -5.5849 1.3270 -10.9591
In -10.4087 2.0047 -2.7569
In -0.8537 -10.7974 -1.6273
In -0.7281 -2.7552 -6.7568
CELL_PARAMETERS angstrom
-12.1702 6.1062 -3.6273
7.1911 -3.4135 -11.6272
-2.6350 -11.6463 7.4817
```



Entry 2:
Material: Pr2NbN3
Method: DFT, PBE
State: relaxed Values from VASP.

Summary:
As for the crystal system: monoclinic. Its density is 7.048 g cm⁻³. Its relative energy among the computed polymorphs is 0.000 eV/atom. Its space group is C2/c. The formation energy from raw total energies comes out at -1.1781 eV/atom. Its size of the total moment is 0.0 μB per formula unit. The calculation puts the electronic total energy at -8.61 eV/atom.

Structure (Quantum ESPRESSO input):
```
&SYSTEM
  ibrav = 0, nat = 24, ntyp = 3
/
ATOMIC_SPECIES
N 14.01 N.upf
Pr 140.91 Pr.upf
Nb 92.91 Nb.upf
ATOMIC_POSITIONS angstrom
N 1.3373 1.1321 12.0338
N 2.8327 1.5726 9.5418
N 4.3281 1.1321 7.0498
N 5.6098 4.0707 3.5414
N 6.6798 3.6982 8.1916
N 3.8582 1.9451 1.7582
N 4.5843 3.6982 11.3250
N 7.1053 4.5111 1.0494
N 4.1144 4.5111 6.0335
N 5.6098 0.1080 3.5414
N 1.7627 1.9451 4.8917
N 2.8327 5.5352 9.5418
Pr 7.1932 3.3889 11.2277
Pr 1.2966 1.2880 7.2869
Pr 7.1459 4.3553 5.7964
Pr 4.0709 3.3889 8.2889
Pr 4.0737 4.3553 1.2865
Pr 4.3688 1.2880 11.7967
Pr 4.3716 2.2543 4.7943
Pr 1.2493 2.2543 1.8556
Nb 1.6590 0.0375 4.2366
Nb 4.4806 5.6057 10.6700
Nb 6.7835 5.6057 8.8466
Nb 3.9620 0.0375 2.4133
CELL_PARAMETERS angstrom
5.5987 0.0000 0.4330
2.7994 5.6433 0.2165
0.0444 0.0000 12.4337
```



Entry 3:
Material: Ce2PaGa6
Method: DFT, PBE
State: relaxed Values from VASP.

Summary:
As for the crystal system: hexagonal. Its density is 8.213 g cm⁻³. The formation energy comes out at -474 meV per atom. Its relative energy among the computed polymorphs is 0.000 eV/atom. Its space group is P6/mmm. Its size of the total moment is 1.2 μB per formula unit. The calculation puts the electronic total energy at -4.87 eV/atom.

Structure (Quantum ESPRESSO input):
```
&SYSTEM
  ibrav = 0, nat = 9, ntyp = 3
/
ATOMIC_SPECIES
Ga 69.72 Ga.upf
Ce 140.12 Ce.upf
Pa 231.04 Pa.upf
ATOMIC_POSITIONS angstrom
Ga 1.7821 6.7579 -1.3155
Ga 1.7821 0.0000 5.2172
Ga 1.7821 2.2397 1.2931
Ga 1.7821 4.5183 5.1948
Ga 1.7821 4.5183 2.6086
Ga 1.7821 2.2397 -1.2931
Ce 0.0000 2.2526 3.9017
Ce 3.5643 4.5053 0.0000
Pa 0.0000 0.0000 7.8034
CELL_PARAMETERS angstrom
3.5643 0.0000 0.0000
0.0000 6.7579 -3.9017
0.0000 0.0000 7.8034
```



Entry 4:
Material: Dy2AlNi2
Method: DFT, PBE
State: relaxed Values from VASP.

Summary:
As for the crystal system: orthorhombic. Its density is 8.298 g cm⁻³. The formation energy comes out at -551 meV per atom. Its space group is Immm. Its size of the total moment is 0.0 μB per formula unit. The calculation puts the electronic total energy at -5.45 eV/atom.

Structure (Quantum ESPRESSO input):
```
&SYSTEM
  ibrav = 0, nat = 5, ntyp = 3
/
ATOMIC_SPECIES
Ni 58.69 Ni.upf
Al 26.98 Al.upf
Dy 162.50 Dy.upf
ATOMIC_POSITIONS angstrom
Ni 4.1772 2.7959 3.3448
Ni 4.1772 4.1815 1.2331
Al 0.0000 0.0000 0.0000
Dy 2.0886 2.0785 1.3637
Dy 6.2658 4.8989 3.2142
CELL_PARAMETERS angstrom
4.1772 0.0000 0.0000
2.0886 4.9668 0.0361
2.0886 2.0105 4.5419
```



Entry 5:
Material: MgNiP
Method: DFT, PBE
State: relaxed Values from VASP.

Summary:
As for the crystal system: tetragonal. Its density is 4.418 g cm⁻³. The formation energy comes out at -566 meV per atom. Its space group is I4/mmm. Its size of the total moment is 0.0 μB per formula unit. The calculation puts the electronic total energy at -4.83 eV/atom.

Structure (Quantum ESPRESSO input):
```
&SYSTEM
  ibrav = 0, nat = 6, ntyp = 3
/
ATOMIC_SPECIES
Mg 24.30 Mg.upf
Ni 58.69 Ni.upf
P 30.97 P.upf
ATOMIC_POSITIONS angstrom
Mg -5.5531 -2.5817 -1.5594
Mg -4.7134 -0.1156 1.2065
Ni -3.9455 -0.4371 -1.3507
Ni -3.7074 -2.4729 0.3922
P -2.2109 -0.6526 0.2374
P -2.8280 -2.4698 -1.8010
CELL_PARAMETERS angstrom
-3.9206 -3.6272 -3.7010
-2.3758 -1.8233 2.3481
-2.8520 2.2483 -1.1377
```



Entry 6:
Material: PuHf2Zn
Method: DFT, PBE
State: relaxed Values from VASP.

Summary:
As for the crystal system: tetragonal. Its density is 13.376 g cm⁻³. The formation energy comes out at 55 meV per atom. Its relative energy among the computed polymorphs is 0.087 eV/atom. Its space group is P4/mmm. Its size of the total moment is 5.1 μB per formula unit. The calculation puts the electronic total energy at -8.82 eV/atom.

Structure (Quantum ESPRESSO input):
```
&SYSTEM
  ibrav = 0, nat = 4, ntyp = 3
/
ATOMIC_SPECIES
Zn 65.41 Zn.upf
Hf 178.49 Hf.upf
Pu 244.00 Pu.upf
ATOMIC_POSITIONS angstrom
Zn -0.9773 0.8867 -1.5821
Hf -1.5464 -1.6204 0.0471
Hf -1.2241 1.2099 1.4342
Pu -3.7478 0.4762 -0.1007
CELL_PARAMETERS angstrom
-1.9545 1.7733 -3.1641
-3.0929 -3.2408 0.0942
-2.4482 2.4198 2.8685
```